Compound: ZrCdSe2
Source: Alexandria via LeMat-Bulk
Functional: GGA-PBEsol
Structure: relaxed

Lattice parameters (Å, degrees): 3.637 3.637 8.103 77.03 77.03 60.00
Atoms (fractional coordinates):
Se 0.739 0.739 0.784
Se 0.261 0.261 0.216
Zr 0.000 0.000 0.000
Cd 0.500 0.500 0.500

Output
**Density**: 6.695 g/cm3
**E_form (uncorrected)**: -919 meV/atom

---

Compound: Cd2SbPb
Source: Alexandria via LeMat-Bulk
Functional: GGA-PBEsol
Structure: relaxed

Lattice parameters (Å, degrees): 4.331 4.617 5.065 90.00 90.00 90.00
Atoms (fractional coordinates):
Pb 0.500 0.500 0.000
Sb 0.000 0.500 0.500
Cd 0.000 0.000 0.000
Cd 0.500 0.000 0.500

Output
**Density**: 9.081 g/cm3
**Offset from the most stable computed form**: 24.9 meV/atom
**E_form (uncorrected)**: 88 meV/atom

---

Compound: LaTl4Se
Source: Alexandria via LeMat-Bulk
Functional: GGA-PBEsol
Structure: relaxed

Lattice parameters (Å, degrees): 6.167 6.167 6.167 60.00 60.00 60.00
Atoms (fractional coordinates):
La 0.750 0.750 0.750
Se 0.000 0.000 0.000
Tl 0.375 0.375 0.375
Tl 0.375 0.375 0.876
Tl 0.876 0.375 0.375
Tl 0.375 0.876 0.375

Output
**Density**: 10.369 g/cm3
**E_form (uncorrected)**: -110 meV/atom

---

Compound: NaTe3Ru
Source: Alexandria via LeMat-Bulk
Functional: GGA-PBEsol
Structure: relaxed

Lattice parameters (Å, degrees): 5.262 5.262 5.262 90.00 90.00 90.00
Last column: magnetic moment on the atom in μB.
Atoms (fractional coordinates):
Ru 0.500 0.500 0.500  2.50
Te 0.000 0.500 0.000  -0.04
Te 0.000 0.000 0.500  -0.04
Te 0.500 0.000 0.000  -0.04
Na 0.000 0.000 0.000  0.00

Output
**Density**: 5.777 g/cm3
**E_form (uncorrected)**: 1466 meV/atom

---

Compound: GdAl3B4O12
Source: Alexandria via LeMat-Bulk
Functional: GGA-PBEsol
Structure: relaxed

Lattice parameters (Å, degrees): 5.899 5.899 5.899 104.46 104.46 104.46
Last column: magnetic moment on the atom in μB.
Atoms (fractional coordinates):
Gd 0.000 0.000 0.000  6.90
Al 0.444 0.556 0.000  0.00
Al 0.000 0.444 0.556  0.00
Al 0.556 0.000 0.444  0.00
B 0.057 0.943 0.500  0.00
B 0.500 0.057 0.943  0.00
B 0.943 0.500 0.057  0.00
B 0.500 0.500 0.500  0.00
O 0.972 0.374 0.223  0.00
O 0.028 0.777 0.626  0.00
O 0.777 0.626 0.028  0.00
O 0.626 0.028 0.777  0.00
O 0.351 0.500 0.649  0.00
O 0.500 0.649 0.351  0.00
O 0.649 0.351 0.500  0.00
O 0.091 0.500 0.909  0.00
O 0.500 0.909 0.091  0.00
O 0.909 0.091 0.500  0.00
O 0.374 0.223 0.972  0.00
O 0.223 0.972 0.374  0.00

Output
**Density**: 4.330 g/cm3
**E_form (uncorrected)**: -2866 meV/atom

---

Compound: LaScZn
Source: Alexandria via LeMat-Bulk
Functional: GGA-PBEsol
Structure: relaxed

Lattice parameters (Å, degrees): 3.428 3.428 7.312 90.00 90.00 120.00
Last column: magnetic moment on the atom in μB.
Atoms (fractional coordinates):
La 0.000 0.000 0.021  0.01
Sc 0.333 0.667 0.627  0.08
Zn 0.667 0.333 0.353  0.00

Output
**Density**: 5.562 g/cm3
**Offset from the most stable computed form**: 177.6 meV/atom
**Energy relative to the elements**: 0.014 eV per atom

---

Compound: AgSb2Se
Source: Alexandria via LeMat-Bulk
Functional: GGA-PBEsol
Structure: relaxed

Lattice parameters (Å, degrees): 3.461 4.662 5.684 90.00 90.00 90.00
Atoms (fractional coordinates):
Ag 0.000 0.500 0.500
Sb 0.000 0.000 0.000
Sb 0.500 0.000 0.500
Se 0.500 0.500 0.000

Output
**Density**: 7.793 g/cm3
**E_form (uncorrected)**: 180 meV/atom

---

Compound: Dy6Zn23
Source: Alexandria via LeMat-Bulk
Functional: GGA-PBEsol
Structure: relaxed

Lattice parameters (Å, degrees): 8.797 8.797 8.797 60.00 60.00 60.00
Atoms (fractional coordinates):
Dy 0.293 0.293 0.707
Dy 0.707 0.293 0.707
Dy 0.707 0.293 0.293
Dy 0.707 0.707 0.293
Dy 0.293 0.707 0.293
Dy 0.293 0.707 0.707
Zn 0.000 0.000 0.000
Zn 0.500 0.500 0.000
Zn 0.000 0.500 0.000
Zn 0.000 0.500 0.500
Zn 0.000 0.000 0.500
Zn 0.500 0.000 0.500
Zn 0.500 0.000 0.000
Zn 0.877 0.368 0.877
Zn 0.877 0.877 0.368
Zn 0.877 0.877 0.877
Zn 0.368 0.877 0.877
Zn 0.123 0.632 0.123
Zn 0.123 0.123 0.632
Zn 0.123 0.123 0.123
Zn 0.632 0.123 0.123
Zn 0.672 0.985 0.672
Zn 0.672 0.672 0.985
Zn 0.672 0.672 0.672
Zn 0.985 0.672 0.672
Zn 0.328 0.015 0.328
Zn 0.328 0.328 0.015
Zn 0.328 0.328 0.328
Zn 0.015 0.328 0.328

Output
**Density**: 8.553 g/cm3
**Energy relative to the elements**: -0.329 eV per atom

---

Q: What is the formula in the eighth record?
A: Dy6Zn23